# 1
Compound: Cs4LaCe3S8
Source: Alexandria
Functional: PBE
Structure: optimized geometry

Its total energy is -5.48 eV per atom.

The structure belongs to space group R-3m (No. 166, hexagonal axes); the cell edges are 8.5923, 8.5923 and 24.1830 Å and the angles 90.00°, 90.00° and 120.00°. The asymmetric unit holds Cs at (0.0000, 0.0000, 0.0000), Cs at (0.0000, 0.5000, 0.0000), La at (0.0000, 0.0000, 0.5000), Ce at (0.0000, 0.5000, 0.5000), S at (0.0000, 0.0000, 0.2281) and S at (0.0035, 0.5018, 0.7715).

# 2
Compound: Cs2LaCeSe4
Source: Alexandria
Functional: PBE
Structure: optimized geometry

Its total energy is -5.05 eV per atom.

The structure belongs to space group P2/m (No. 10); the cell edges are 7.7551, 4.4782 and 8.7575 Å and the angles 90.00°, 107.15° and 90.00°. The asymmetric unit holds Cs at (0.0000, 0.0000, 0.0000), Cs at (0.5000, 0.5000, 0.0000), La at (0.0000, 0.5000, 0.5000), Ce at (0.5000, 0.0000, 0.5000), Se at (0.2326, 0.0000, 0.6903) and Se at (0.2732, 0.5000, 0.3110).

# 3
Compound: Cs4LaCe3Se8
Source: Alexandria
Functional: PBE
Structure: optimized geometry

Its total energy is -5.08 eV per atom.

The structure belongs to space group R-3m (No. 166, hexagonal axes); the cell edges are 8.9198, 8.9198 and 25.1071 Å and the angles 90.00°, 90.00° and 120.00°. The asymmetric unit holds Cs at (0.0000, 0.0000, 0.0000), Cs at (0.0000, 0.5000, 0.0000), La at (0.0000, 0.0000, 0.5000), Ce at (0.0000, 0.5000, 0.5000), Se at (0.0000, 0.0000, 0.2295) and Se at (0.0027, 0.5014, 0.7702).

# 4
Compound: Cs3LaCe2Se6
Source: Alexandria
Functional: PBE
Structure: optimized geometry

Its total energy is -5.07 eV per atom.

The structure belongs to space group C2/m (No. 12); the cell edges are 7.7348, 13.3967 and 8.7550 Å and the angles 90.00°, 107.13° and 90.00°. The asymmetric unit holds Cs at (0.0000, 0.0000, 0.0000), Cs at (0.0000, 0.3340, 0.0000), La at (0.0000, 0.5000, 0.5000), Ce at (0.0000, 0.1667, 0.5000), Se at (0.2265, 0.0000, 0.6892) and Se at (0.2314, 0.3317, 0.6895).

# 5
Compound: Cs4La3CeTe8
Source: Alexandria
Functional: PBE
Structure: optimized geometry

Its total energy is -4.54 eV per atom.

The structure belongs to space group R-3m (No. 166, hexagonal axes); the cell edges are 9.5375, 9.5375 and 26.7391 Å and the angles 90.00°, 90.00° and 120.00°. The asymmetric unit holds Cs at (0.0000, 0.0000, 0.0000), Cs at (0.0000, 0.5000, 0.0000), La at (0.0000, 0.5000, 0.5000), Ce at (0.0000, 0.0000, 0.5000), Te at (0.0000, 0.0000, 0.2320) and Te at (0.0021, 0.5011, 0.2316).

# 6
Compound: Cs3LaCe2Te6
Source: Alexandria
Functional: PBE
Structure: optimized geometry

Its total energy is -4.58 eV per atom.

The structure belongs to space group C2/m (No. 12); the cell edges are 8.2207, 14.2373 and 9.3173 Å and the angles 90.00°, 107.11° and 90.00°. The asymmetric unit holds Cs at (0.0000, 0.0000, 0.0000), Cs at (0.0000, 0.3341, 0.0000), La at (0.0000, 0.5000, 0.5000), Ce at (0.0000, 0.1667, 0.5000), Te at (0.2286, 0.0000, 0.6943) and Te at (0.2329, 0.3320, 0.6945).

# 7
Compound: CsLiCeO3
Source: Alexandria
Functional: PBE
Structure: optimized geometry

Its total energy is -6.47 eV per atom.

The structure belongs to space group Cmcm (No. 63); the cell edges are 3.6109, 13.1991 and 9.0703 Å and the angles 90.00°, 90.00° and 90.00°. The asymmetric unit holds Cs at (0.0000, 0.2335, 0.2500), Li at (0.0000, 0.0424, 0.7500), Ce at (0.0000, 0.5000, 0.0000), O at (0.0000, 0.0992, 0.5518) and O at (0.0000, 0.4706, 0.7500).

# 8
Compound: Cs3LiCe3O8
Source: Alexandria
Functional: PBE
Structure: optimized geometry

Its total energy is -6.67 eV per atom.

The structure belongs to space group R-3m (No. 166, hexagonal axes); the cell edges are 7.1469, 7.1469 and 20.5546 Å and the angles 90.00°, 90.00° and 120.00°. The asymmetric unit holds Cs at (0.0000, 0.5000, 0.0000), Li at (0.0000, 0.0000, 0.5000), Ce at (0.0000, 0.5000, 0.5000), O at (0.0000, 0.0000, 0.2235) and O at (0.0237, 0.5118, 0.7821).

Formation energy (no corrections)
In order: -1.783; -1.738; -1.702; -1.714; -1.461; -1.396; -2.537; -2.545
Unit: eV per atom